The following is a GGA-PBE calculation of a geometry-optimized Ir3C2 structure, from Alexandria via LeMat-Bulk.

Output
- Total DFT energy (no corrections): -8.13 eV per atom
- Crystal system: trigonal
- Calculated density: 16.8 g cm⁻³
- Total magnetic moment: 0.000 Bohr magnetons per cell
- Relative energy among the computed polymorphs: 0.2026 eV per atom
- E_form: 0.87 eV/atom

Unit cell a=3.474 b=3.474 c=5.668 alpha=90.00 beta=90.00 gamma=120.00
Fractional coordinates of all 5 atoms:
C: 0.333 0.667 0.755
C: 0.667 0.333 0.245
Ir: 0.667 0.333 0.672
Ir: 0.000 0.000 0.000
Ir: 0.333 0.667 0.328